This record from Alexandria describes a geometry-optimized CrAsIrRu2 structure. The functional is PBE-GGA.

Geometry as POSCAR:
```
CrAsIrRu2
1.0
4.725 0.000 0.000
0.000 4.725 0.000
0.000 0.000 4.462
Ru As Ir Cr
2 1 1 1
Cartesian
0.000 2.362 0.000
2.362 0.000 0.000
2.362 2.362 2.231
0.000 0.000 0.000
0.000 0.000 2.231
```

calculated volume = 99.6 Å³/cell
energy of formation from the pure elements = 158.0 kJ per mole of atoms
polymorph energy (0 for the lowest one) = 376 meV per atom
space-group type = P4/mmm, No. 123



This record from Alexandria describes a geometry-optimized Zr2NiPb structure. The functional is PBE-GGA.

Geometry as POSCAR:
```
Zr2NiPb
1.0
-4.386 2.066 -0.632
-3.992 -2.117 1.868
-2.307 2.050 3.793
Ni Pb Zr
1 1 2
Cartesian
-5.343 0.999 2.514
-8.014 1.499 3.772
0.000 0.000 0.000
-2.671 0.500 1.257
```

calculated volume = 82.7 Å³/cell
energy of formation from the pure elements = 24.5 kJ per mole of atoms
space-group type = F-43m, No. 216



This record from Alexandria describes a geometry-optimized Dy3Er3In structure. The functional is PBE-GGA.

Geometry as POSCAR:
```
Dy3Er3In
1.0
-4.996 -1.183 0.565
-1.030 -1.861 -13.009
3.054 -12.181 1.500
Dy Er In
12 12 4
Cartesian
-2.104 -11.459 -7.187
-1.291 -5.062 -10.216
-0.868 -3.766 -3.757
-1.681 -10.162 -0.728
-3.537 -2.849 -1.823
0.360 -8.579 -2.970
0.564 -12.376 -9.122
-3.333 -6.646 -7.974
-2.582 -10.982 -10.412
-1.276 -3.696 -7.219
-0.391 -4.242 -0.533
-1.696 -11.529 -3.725
-1.908 -14.072 -10.920
-0.464 -6.536 -5.981
-1.065 -1.153 -0.025
-2.509 -8.689 -4.963
-3.414 -7.871 -11.258
1.017 -12.636 -5.655
0.442 -7.354 0.314
-3.990 -2.589 -5.290
-4.325 -2.904 -8.909
-0.354 -8.501 -9.126
1.352 -12.321 -2.036
-2.619 -6.724 -1.819
-4.163 -4.883 -11.621
0.268 -9.649 -6.028
1.190 -10.342 0.676
-3.241 -5.575 -4.916
```

calculated volume = 861.2 Å³/cell
energy of formation from the pure elements = -0.7 kJ per mole of atoms
polymorph energy (0 for the lowest one) = 106 meV per atom
space-group type = Pnma, No. 62



> Which of these has the highest energy of formation from the pure elements?

CrAsIrRu2



> The lowest energy of formation from the pure elements belongs to which entry?

Dy3Er3In



> calculated volume of number 3 (Dy3Er3In)?

861.2 Å³/cell